Record 1
Compound: Si2AgHg
Source: the Alexandria database
Functional: PBE
Structure: optimized geometry

Calculated values
- ΔE_f (raw): 2.08 eV/f.u.
- Space-group type: Cmmm
- Size of the total moment: 0.00 μB per cell

extended XYZ file:
```
4
Lattice="5.4002 -0.1788 0.0000 -2.2170 4.9274 0.0000 0.0000 0.0000 2.8698" Properties=species:S:1:pos:R:3 pbc="T T T"
Hg -1.1085 2.4637 1.4349
Si 0.0000 0.0000 0.0000
Si 1.5916 2.3743 0.0000
Ag 2.7001 -0.0894 1.4349
```


Record 2
Compound: Mg2Mo
Source: the Alexandria database
Functional: PBE
Structure: optimized geometry

Calculated values
- Energy above the lowest structure with this stoichiometry: 0.678 eV/f.u.
- Space-group type: Cmcm
- Formation energy: 0.45 eV/atom
- Size of the total moment: 0.01 μB per cell

extended XYZ file:
```
6
Lattice="-5.4735 5.1326 -2.5273 3.8927 -4.8986 4.8518 2.8147 3.7580 1.5360" Properties=species:S:1:pos:R:3 pbc="T T T"
Mg 0.7977 3.4955 1.9022
Mg 3.9037 0.1689 4.3493
Mg -2.6698 3.8230 -0.4888
Mg 0.4362 0.4964 1.9582
Mo 3.6054 -2.8978 4.4550
Mo -2.3715 6.8897 -0.5946
```


Record 3
Compound: KZrTl2
Source: the Alexandria database
Functional: PBE
Structure: optimized geometry

Calculated values
- Energy above the lowest structure with this stoichiometry: 0.984 eV/f.u.
- Space-group type: Imm2
- Formation energy: 0.28 eV/atom
- Size of the total moment: 0.00 μB per cell

extended XYZ file:
```
4
Lattice="-5.8454 -1.5195 -3.5453 -4.9794 -4.3092 2.3836 3.8788 5.8249 0.2676" Properties=species:S:1:pos:R:3 pbc="T T T"
Tl -10.6433 -5.7309 -1.1422
Tl -3.5810 0.7540 -1.9176
K -3.2325 -0.6864 1.0378
Zr -5.7264 -3.0834 -0.6145
```


Record 4
Compound: LiMgRh2N
Source: the Alexandria database
Functional: PBE
Structure: optimized geometry

Calculated values
- Energy above the lowest structure with this stoichiometry: 0.000 eV/f.u.
- ΔE_f (raw): -1.53 eV/f.u.
- Space-group type: P4/mmm
- Size of the total moment: 0.15 μB per cell

extended XYZ file:
```
5
Lattice="-1.6051 -1.9526 3.1583 2.8787 -2.8277 -0.2852 2.3083 2.1006 2.4717" Properties=species:S:1:pos:R:3 pbc="T T T"
Mg 1.7910 -1.3398 2.6724
Rh -0.8025 -0.9763 1.5792
Rh 1.4394 -1.4138 -0.1426
N 0.0000 0.0000 0.0000
Li 1.1541 1.0503 1.2359
```


Record 5
Compound: Ba2Zn4InGa3
Source: the Alexandria database
Functional: PBE
Structure: optimized geometry

Calculated values
- Space-group type: P-4m2
- Formation energy: -0.32 eV/atom
- Size of the total moment: 0.00 μB per cell

extended XYZ file:
```
10
Lattice="4.5950 0.0000 0.0000 0.0000 4.5950 0.0000 0.0000 0.0000 11.1693" Properties=species:S:1:pos:R:3 pbc="T T T"
In 2.2975 2.2975 5.5847
Zn 2.2975 2.2975 0.0000
Zn 0.0000 2.2975 4.0115
Zn 2.2975 0.0000 7.1578
Zn 0.0000 0.0000 0.0000
Ga 2.2975 0.0000 9.8101
Ga 0.0000 2.2975 1.3592
Ga 0.0000 0.0000 5.5847
Ba 2.2975 0.0000 2.6921
Ba 0.0000 2.2975 8.4772
```


Record 6
Compound: SbMo2PdBr
Source: the Alexandria database
Functional: PBE
Structure: optimized geometry

Calculated values
- ΔE_f (raw): 7.46 eV/f.u.
- Space-group type: P4/mmm
- Size of the total moment: 6.12 μB per cell

extended XYZ file:
```
5
Lattice="5.1539 0.0000 0.0000 0.0000 4.7239 0.0000 0.0000 0.0000 5.1539" Properties=species:S:1:pos:R:3 pbc="T T T"
Pd 0.0000 0.0000 0.0000
Sb 2.5770 2.3619 2.5770
Br 0.0000 2.3619 0.0000
Mo 0.0000 0.0000 2.5770
Mo 2.5770 0.0000 0.0000
```